First-principles (PBE) data for a relaxed structure of NaTaTeF2, as listed in the Alexandria database.

```
data_NaTaTeF2
_chemical_formula_sum 'Na1 Ta1 Te1 F2'
_cell_length_a 4.120
_cell_length_b 4.120
_cell_length_c 6.766
_cell_angle_alpha 90.00
_cell_angle_beta 90.00
_cell_angle_gamma 90.00
_symmetry_space_group_name_H-M 'P 4/m m m'
_symmetry_Int_Tables_number 123
_symmetry_space_group_name_Hall '-P 4 2'
loop_
_atom_site_label
_atom_site_fract_x
_atom_site_fract_y
_atom_site_fract_z
Na1 0.000 0.000 0.000
Ta1 0.000 0.000 0.500
Te1 0.500 0.500 0.000
F1 0.000 0.500 0.500
```

## Properties
- D(E_F) (states/eV per atom) = 0.65
- formation energy from raw total energies (meV/atom) = -1055.9